The following is a DFT calculation (GGA-PBE) of crystalline RbC3 at its relaxed geometry.

Properties
Calculated formation energy = 1.82 eV/atom
Volume = 17.285 Å³ per atom
Relative energy among the computed polymorphs = 1079 meV/atom

abc: 4.955 4.955 4.955
angles: 143.21 96.22 95.21
Sites, in units of the cell vectors:
C: 0.811 0.895 0.917
C: 0.022 0.105 0.917
C: 0.917 0.500 0.417
Rb: 0.416 0.000 0.416

***

The following is a DFT calculation (GGA-PBE) of crystalline Rb2C at its relaxed geometry.

Properties
Calculated formation energy = 1.52 eV/atom
Volume = 42.666 Å³ per atom
Relative energy among the computed polymorphs = 93 meV/atom

abc: 8.483 8.483 8.483
angles: 152.72 152.72 38.96
Sites, in units of the cell vectors:
Rb: 0.606 0.606 0.000
Rb: 0.394 0.394 0.000
C: 0.000 0.000 0.000

***

The following is a DFT calculation (GGA-PBE) of crystalline RbC8 at its relaxed geometry.

Properties
Calculated formation energy = 2.05 eV/atom
Volume = 14.575 Å³ per atom
Relative energy among the computed polymorphs = 2090 meV/atom

abc: 7.195 7.195 7.195
angles: 91.90 91.90 159.02
Sites, in units of the cell vectors:
Rb: 0.000 0.000 0.000
C: 0.749 0.251 0.000
C: 0.251 0.749 0.000
C: 0.000 0.583 0.583
C: 0.251 0.251 0.503
C: 0.583 0.000 0.583
C: 0.749 0.749 0.497
C: 0.000 0.417 0.417
C: 0.417 0.000 0.417

***

The following is a DFT calculation (GGA-PBE) of crystalline Rb2C at its relaxed geometry.

Properties
Calculated formation energy = 1.45 eV/atom
Volume = 50.200 Å³ per atom
Relative energy among the computed polymorphs = 25 meV/atom

abc: 10.746 10.746 6.226
angles: 90.00 90.00 155.23
Sites, in units of the cell vectors:
Rb: 0.589 0.411 0.250
Rb: 0.411 0.589 0.750
Rb: 0.786 0.214 0.250
Rb: 0.214 0.786 0.750
C: 0.182 0.818 0.250
C: 0.818 0.182 0.750

***

The following is a DFT calculation (GGA-PBE) of crystalline Rb2C at its relaxed geometry.

Properties
Calculated formation energy = 1.44 eV/atom
Volume = 49.597 Å³ per atom
Relative energy among the computed polymorphs = 15 meV/atom

abc: 4.652 4.652 15.881
angles: 90.00 90.00 120.00
Sites, in units of the cell vectors:
Rb: 0.333 0.667 0.901
Rb: 0.667 0.333 0.401
Rb: 0.333 0.667 0.599
Rb: 0.667 0.333 0.099
C: 0.000 0.000 0.000
C: 0.000 0.000 0.500

***

The following is a DFT calculation (GGA-PBE) of crystalline RbC5 at its relaxed geometry.

Properties
Calculated formation energy = 1.01 eV/atom
Volume = 12.908 Å³ per atom
Relative energy among the computed polymorphs = 0 meV/atom

abc: 5.705 5.705 5.732
angles: 70.91 70.91 26.15
Sites, in units of the cell vectors:
Rb: 0.275 0.275 0.886
C: 0.906 0.906 0.343
C: 0.340 0.340 0.350
C: 0.691 0.691 0.492
C: 0.590 0.590 0.397
C: 0.032 0.032 0.366

***

Which value of volume does entry 3 give?
14.575 Å³ per atom